DFT (PBE-GGA) results for a relaxed structure of SmYPtSe.

Output
As for the density of states at the Fermi level: 2.63 states/eV per cell. As for the crystal system: trigonal. For the uncorrected formation energy, the calculation gives -1400.9 meV/atom. As for the space-group type: R3m, No. 160.

a b c (Å): 3.981 3.980 7.754
angles (deg): 90.00 104.85 119.99
Fractional positions:
Se (0.130, 0.963, 0.109)
Y (0.298, 0.547, 0.861)
Pt (0.474, 0.135, 0.623)
Sm (0.976, 0.386, 0.376)